# 1
## Ac3PaTl3Se8 (PBE)

Data for a relaxed structure of Ac3PaTl3Se8.

Unit cell a=9.3252 b=9.3252 c=9.3252 alpha=57.79 beta=57.79 gamma=57.79
Sites, in units of the cell vectors:
Ac1 0.0000 0.5000 0.5000
Ac2 0.5000 0.0000 0.5000
Ac3 0.5000 0.5000 0.0000
Pa1 0.0000 0.0000 0.0000
Tl1 0.0000 0.0000 0.5000
Tl2 0.0000 0.5000 0.0000
Tl3 0.5000 0.0000 0.0000
Se1 0.2236 0.2236 0.7584
Se2 0.2236 0.7584 0.2236
Se3 0.2416 0.7764 0.7764
Se4 0.2606 0.2606 0.2606
Se5 0.7394 0.7394 0.7394
Se6 0.7584 0.2236 0.2236
Se7 0.7764 0.2416 0.7764
Se8 0.7764 0.7764 0.2416

Summary:
magnetic moment: 1.026 Bohr magnetons per cell
space-group type: R-3m
E_form (uncorrected): -137 kJ per mole of atoms
uncorrected energy: -5.21 eV/atom

=====

# 2
## AcPaSi2 (PBE)

Data for a relaxed structure of AcPaSi2.

Unit cell a=7.3030 b=7.3030 c=7.3030 alpha=90.00 beta=90.00 gamma=90.00
Sites, in units of the cell vectors:
Ac1 0.0000 0.0000 0.0000
Ac2 0.0000 0.5000 0.5000
Ac3 0.5000 0.0000 0.5000
Ac4 0.5000 0.5000 0.0000
Pa1 0.0000 0.0000 0.5000
Pa2 0.0000 0.5000 0.0000
Pa3 0.5000 0.0000 0.0000
Pa4 0.5000 0.5000 0.5000
Si1 0.2500 0.2500 0.2500
Si2 0.2500 0.2500 0.7500
Si3 0.2500 0.7500 0.2500
Si4 0.2500 0.7500 0.7500
Si5 0.7500 0.2500 0.2500
Si6 0.7500 0.2500 0.7500
Si7 0.7500 0.7500 0.2500
Si8 0.7500 0.7500 0.7500

Summary:
magnetic moment: 1.004 Bohr magnetons per cell
space-group type: Fm-3m
E_form (uncorrected): -11 kJ per mole of atoms
uncorrected energy: -6.23 eV/atom

=====

# 3
## AcPaSi2 (PBE)

Data for a relaxed structure of AcPaSi2.

Unit cell a=8.7384 b=4.0342 c=11.2513 alpha=90.00 beta=90.00 gamma=90.00
Sites, in units of the cell vectors:
Ac1 0.1361 0.2500 0.1347
Ac2 0.3639 0.7500 0.6347
Ac3 0.6361 0.2500 0.3653
Ac4 0.8639 0.7500 0.8653
Pa1 0.0059 0.7500 0.4186
Pa2 0.4941 0.2500 0.9186
Pa3 0.5059 0.7500 0.0814
Pa4 0.9941 0.2500 0.5814
Si1 0.1619 0.2500 0.8147
Si2 0.2396 0.7500 0.9259
Si3 0.2604 0.2500 0.4259
Si4 0.3381 0.7500 0.3147
Si5 0.6619 0.2500 0.6853
Si6 0.7396 0.7500 0.5741
Si7 0.7604 0.2500 0.0741
Si8 0.8381 0.7500 0.1853

Summary:
magnetic moment: 0.000 Bohr magnetons per cell
space-group type: Pnma
E_form (uncorrected): -42 kJ per mole of atoms
uncorrected energy: -6.54 eV/atom

=====

# 4
## AcPaSi (PBE)

Data for a relaxed structure of AcPaSi.

Unit cell a=4.7616 b=4.7616 c=4.4343 alpha=90.00 beta=90.00 gamma=120.00
Sites, in units of the cell vectors:
Ac1 0.0000 0.0000 0.0000
Pa1 0.6667 0.3333 0.5328
Si1 0.3333 0.6667 0.3852

Summary:
magnetic moment: 1.123 Bohr magnetons per cell
space-group type: P3m1
E_form (uncorrected): 18 kJ per mole of atoms
uncorrected energy: -6.16 eV/atom

=====

# 5
## AcPaSi2 (PBE)

Data for a relaxed structure of AcPaSi2.

Unit cell a=3.8576 b=3.8576 c=6.6015 alpha=90.00 beta=90.00 gamma=90.00
Sites, in units of the cell vectors:
Ac1 0.0000 0.0000 0.0000
Pa1 0.0000 0.0000 0.5000
Si1 0.5000 0.5000 0.3102
Si2 0.5000 0.5000 0.6898

Summary:
magnetic moment: 0.002 Bohr magnetons per cell
space-group type: P4/mmm
E_form (uncorrected): -35 kJ per mole of atoms
uncorrected energy: -6.47 eV/atom

=====

# 6
## Ac2PaSi (PBE)

Data for a relaxed structure of Ac2PaSi.

Unit cell a=4.9514 b=4.9514 c=4.8567 alpha=90.00 beta=90.00 gamma=90.00
Sites, in units of the cell vectors:
Ac1 0.0000 0.5000 0.0000
Ac2 0.5000 0.0000 0.0000
Pa1 0.0000 0.0000 0.5000
Si1 0.5000 0.5000 0.5000

Summary:
magnetic moment: 0.976 Bohr magnetons per cell
space-group type: P4/mmm
E_form (uncorrected): 19 kJ per mole of atoms
uncorrected energy: -5.59 eV/atom

=====

# 7
## Ac2PaSi6 (PBE)

Data for a relaxed structure of Ac2PaSi6.

Unit cell a=7.2500 b=7.2500 c=4.3124 alpha=90.00 beta=90.00 gamma=120.00
Sites, in units of the cell vectors:
Ac1 0.3333 0.6667 0.0000
Ac2 0.6667 0.3333 0.0000
Pa1 0.0000 0.0000 0.0000
Si1 0.0000 0.3227 0.5000
Si2 0.0000 0.6773 0.5000
Si3 0.3227 0.0000 0.5000
Si4 0.3227 0.3227 0.5000
Si5 0.6773 0.0000 0.5000
Si6 0.6773 0.6773 0.5000

Summary:
magnetic moment: 0.000 Bohr magnetons per cell
space-group type: P6/mmm
E_form (uncorrected): -46 kJ per mole of atoms
uncorrected energy: -6.06 eV/atom

=====

# 8
## AcPaSi2 (PBE)

Data for a relaxed structure of AcPaSi2.

Unit cell a=4.3215 b=4.3215 c=21.0980 alpha=90.00 beta=90.00 gamma=120.00
Sites, in units of the cell vectors:
Ac1 0.0000 0.0000 0.0000
Ac2 0.3333 0.6667 0.6667
Ac3 0.6667 0.3333 0.3333
Pa1 0.0000 0.0000 0.5000
Pa2 0.3333 0.6667 0.1667
Pa3 0.6667 0.3333 0.8333
Si1 0.0000 0.0000 0.2362
Si2 0.0000 0.0000 0.7638
Si3 0.3333 0.6667 0.4304
Si4 0.3333 0.6667 0.9029
Si5 0.6667 0.3333 0.0971
Si6 0.6667 0.3333 0.5696

Summary:
magnetic moment: 0.000 Bohr magnetons per cell
space-group type: R-3m
E_form (uncorrected): -35 kJ per mole of atoms
uncorrected energy: -6.48 eV/atom